# Ba2FeWO6 PBE with a Hubbard U relaxed
data_Ba2FeWO6
_chemical_formula_sum 'Ba8 Fe4 W4 O24'
_space_group_name_H-M_alt 'C 1 2/c 1'
_space_group_IT_number 15
_cell_length_a 10.2042
_cell_length_b 5.8326
_cell_length_c 10.1975
_cell_angle_alpha 90.00
_cell_angle_beta 110.28
_cell_angle_gamma 90.00
loop_
_space_group_symop_operation_xyz
'x,y,z'
'-x,-y,-z'
'-x,y,-z+1/2'
'x,-y,z+1/2'
'x+1/2,y+1/2,z'
'-x+1/2,-y+1/2,-z'
'-x+1/2,y+1/2,-z+1/2'
'x+1/2,-y+1/2,z+1/2'
loop_
_atom_site_label
_atom_site_fract_x
_atom_site_fract_y
_atom_site_fract_z
Ba1 0.1251 0.2460 0.1251
Fe1 0.2500 0.2500 0.5000
W1 0.0000 0.2564 0.7500
O1 0.1168 0.2591 0.6328
O2 0.1188 0.0223 0.8689
O3 0.1196 0.4985 0.8693
# VASP energy   -7.044 eV per atom